Compound: NaMgRe2
Source: Alexandria
Functional: PBE
Structure: relaxed Values from VASP.

Geometry as Quantum ESPRESSO input:
```
&SYSTEM
  ibrav = 0, nat = 4, ntyp = 3
/
ATOMIC_SPECIES
Re 186.21 Re.upf
Mg 24.30 Mg.upf
Na 22.99 Na.upf
CELL_PARAMETERS angstrom
0.000 3.211 3.211
3.211 0.000 3.211
3.211 3.211 0.000
ATOMIC_POSITIONS angstrom
Re 1.605 1.605 1.605
Re 4.816 4.816 4.816
Mg 3.211 3.211 3.211
Na 0.000 0.000 0.000
```

* E: -5.3958 eV per atom
* ρ: 10.53 g/cm³



Compound: PuTiMoIr
Source: Alexandria
Functional: PBE
Structure: relaxed Values from VASP.

Geometry as Quantum ESPRESSO input:
```
&SYSTEM
  ibrav = 0, nat = 4, ntyp = 4
/
ATOMIC_SPECIES
Mo 95.94 Mo.upf
Ir 192.22 Ir.upf
Ti 47.87 Ti.upf
Pu 244.00 Pu.upf
CELL_PARAMETERS angstrom
-2.471 3.431 1.839
-3.216 -0.919 3.173
0.676 1.232 4.391
ATOMIC_POSITIONS angstrom
Mo -1.253 0.936 2.351
Ir -3.758 2.808 7.052
Ti -2.505 1.872 4.702
Pu 0.000 0.000 0.000
```

* E: -10.7460 eV per atom
* ρ: 13.90 g/cm³